# Pu2Ga3Sn

Pu2Ga3Sn after structural relaxation (GGA-PBE, Alexandria).

## Properties
energy of formation from the pure elements: -0.3225 eV/atom
ΔE to the lowest computed polymorph: 9.4 meV per atom
DOS(E_F): 2.09 states/eV/atom

The structure in POSCAR format:
```
Pu2Ga3Sn
1.0
5.667 0.024 -1.289
-2.204 5.220 -1.289
-0.021 -0.032 8.855
Sn Pu Ga
2 4 6
direct
0.333 0.333 0.667
0.667 0.667 0.333
0.250 0.750 0.500
0.750 0.250 0.500
0.750 0.750 0.000
0.250 0.250 0.000
0.838 0.324 0.162
0.162 0.676 0.838
0.839 0.839 0.677
0.324 0.838 0.162
0.676 0.162 0.838
0.161 0.161 0.323
```